ZnCuTcAg after structural relaxation. Source: OQMD, functional PBE-GGA.

Lattice parameters (Å, degrees): 4.391 4.391 4.391 60.00 60.00 60.00
Sites, in units of the cell vectors:
Zn 0.000 0.000 0.000
Cu 0.250 0.250 0.250
Tc 0.750 0.750 0.750
Ag 0.500 0.500 0.500

Values from the calculation:
As for the total energy: -4.12 eV/atom. Its total magnetization is 1.952 μB/cell. As for the crystal system: cubic. The value obtained for the formation energy from the elements is 1.68 eV per formula unit. Its space group is F-43m (216). The mass density comes out at 9.29 g cm⁻³.

***

Hf2ZrSi4Au4 after structural relaxation. Source: OQMD, functional PBE-GGA.

Lattice parameters (Å, degrees): 7.968 7.968 7.968 150.17 129.37 59.87
Sites, in units of the cell vectors:
Hf 0.113 0.113 0.000
Hf 0.887 0.887 0.000
Zr 0.500 0.000 0.500
Si 0.180 0.500 0.680
Si 0.284 0.784 0.500
Si 0.716 0.216 0.500
Si 0.820 0.500 0.320
Au 0.128 0.334 0.794
Au 0.460 0.666 0.794
Au 0.540 0.334 0.206
Au 0.872 0.666 0.206

Values from the calculation:
As for the total energy: -6.14 eV/atom. Its total magnetization is 0.008 μB/cell. As for the crystal system: orthorhombic. Its space group is Immm (71). The mass density comes out at 11.60 g cm⁻³.

***

RbPm2CuTe3S after structural relaxation. Source: OQMD, functional PBE-GGA.

Lattice parameters (Å, degrees): 7.927 7.927 15.146 90.00 90.00 148.09
Sites, in units of the cell vectors:
Rb 0.087 0.913 0.750
Rb 0.913 0.087 0.250
Pm 0.364 0.636 0.575
Pm 0.364 0.636 0.925
Pm 0.636 0.364 0.075
Pm 0.636 0.364 0.425
Cu 0.158 0.842 0.250
Cu 0.842 0.158 0.750
Te 0.000 0.000 0.000
Te 0.000 0.000 0.500
Te 0.273 0.727 0.118
Te 0.273 0.727 0.382
Te 0.727 0.273 0.618
Te 0.727 0.273 0.882
S 0.418 0.582 0.750
S 0.582 0.418 0.250

Values from the calculation:
As for the total energy: -4.73 eV/atom. Its total magnetization is 0.000 μB/cell. As for the crystal system: orthorhombic. Its space group is Cmcm (63). The mass density comes out at 5.64 g cm⁻³.

***

DyMgZn after structural relaxation. Source: OQMD, functional PBE-GGA.

Lattice parameters (Å, degrees): 4.741 4.741 4.741 60.00 60.00 60.00
Sites, in units of the cell vectors:
Dy 0.000 0.000 0.000
Mg 0.500 0.500 0.500
Zn 0.250 0.250 0.250

Values from the calculation:
As for the total energy: -2.54 eV/atom. Its total magnetization is 0.908 μB/cell. As for the crystal system: cubic. Its space group is F-43m (216). The mass density comes out at 5.56 g cm⁻³.

***

TcPd2Pt after structural relaxation. Source: OQMD, functional PBE-GGA.

Lattice parameters (Å, degrees): 4.432 4.432 4.432 60.00 60.00 60.00
Sites, in units of the cell vectors:
Tc 0.000 0.000 0.000
Pd 0.500 0.500 0.500
Pd 0.750 0.750 0.750
Pt 0.250 0.250 0.250

Values from the calculation:
As for the total energy: -6.51 eV/atom. Its total magnetization is 1.471 μB/cell. As for the crystal system: cubic. The value obtained for the formation energy from the elements is 0.74 eV per formula unit. Its space group is F-43m (216). The mass density comes out at 13.65 g cm⁻³.

***

DyThW after structural relaxation. Source: OQMD, functional PBE-GGA.

Lattice parameters (Å, degrees): 4.914 4.914 4.914 60.00 60.00 60.00
Sites, in units of the cell vectors:
Dy 0.000 0.000 0.000
Th 0.500 0.500 0.500
W 0.750 0.750 0.750

Values from the calculation:
As for the total energy: -7.78 eV/atom. Its total magnetization is 0.003 μB/cell. As for the crystal system: cubic. The value obtained for the formation energy from the elements is 1.64 eV per formula unit. Its space group is F-43m (216). The mass density comes out at 11.45 g cm⁻³.

***

LiAc3Pd8 after structural relaxation. Source: OQMD, functional PBE-GGA.

Lattice parameters (Å, degrees): 9.702 9.702 9.702 33.59 33.59 33.59
Sites, in units of the cell vectors:
Li 0.000 0.000 0.000
Ac 0.348 0.348 0.348
Ac 0.479 0.479 0.479
Ac 0.871 0.871 0.871
Pd 0.169 0.169 0.169
Pd 0.420 0.918 0.918
Pd 0.421 0.421 0.916
Pd 0.421 0.916 0.421
Pd 0.669 0.669 0.669
Pd 0.916 0.421 0.421
Pd 0.918 0.420 0.918
Pd 0.918 0.918 0.420

Values from the calculation:
As for the total energy: -5.36 eV/atom. Its total magnetization is 0.024 μB/cell. As for the crystal system: trigonal. Its space group is R3m (160). The mass density comes out at 10.26 g cm⁻³.

***

NaCoHgW after structural relaxation. Source: OQMD, functional PBE-GGA.

Lattice parameters (Å, degrees): 4.441 4.441 4.441 60.00 60.00 60.00
Sites, in units of the cell vectors:
Na 0.000 0.000 0.000
Co 0.500 0.500 0.500
Hg 0.250 0.250 0.250
W 0.750 0.750 0.750

Values from the calculation:
As for the total energy: -4.56 eV/atom. Its total magnetization is 0.001 μB/cell. As for the crystal system: cubic. Its space group is F-43m (216). The mass density comes out at 12.51 g cm⁻³.

***

GdTcNO after structural relaxation. Source: OQMD, functional PBE-GGA.

Lattice parameters (Å, degrees): 3.768 3.768 7.824 90.00 90.00 90.00
Sites, in units of the cell vectors:
Gd 0.250 0.250 0.151
Gd 0.750 0.750 0.849
Tc 0.250 0.750 0.500
Tc 0.750 0.250 0.500
N 0.250 0.250 0.626
N 0.750 0.750 0.374
O 0.250 0.750 0.000
O 0.750 0.250 0.000

Values from the calculation:
As for the total energy: -8.54 eV/atom. Its total magnetization is 0.025 μB/cell. As for the crystal system: tetragonal. Its space group is P4/nmm (129). The mass density comes out at 8.53 g cm⁻³.

***

AlCu2B after structural relaxation. Source: OQMD, functional PBE-GGA.

Lattice parameters (Å, degrees): 5.637 5.637 5.637 90.00 90.00 90.00
Sites, in units of the cell vectors:
Al 0.000 0.000 0.000
Al 0.000 0.000 0.500
Al 0.000 0.500 0.000
Al 0.500 0.000 0.000
Cu 0.273 0.273 0.273
Cu 0.273 0.273 0.727
Cu 0.273 0.727 0.273
Cu 0.273 0.727 0.727
Cu 0.727 0.273 0.273
Cu 0.727 0.273 0.727
Cu 0.727 0.727 0.273
Cu 0.727 0.727 0.727
B 0.000 0.500 0.500
B 0.500 0.000 0.500
B 0.500 0.500 0.000
B 0.500 0.500 0.500

Values from the calculation:
As for the total energy: -4.08 eV/atom. As for the crystal system: cubic. Its space group is Pm-3m (221). The mass density comes out at 6.12 g cm⁻³.

***

Pr2NdZn2Cu2Si4 after structural relaxation. Source: OQMD, functional PBE-GGA.

Lattice parameters (Å, degrees): 12.481 12.481 12.481 160.81 160.77 27.30
Sites, in units of the cell vectors:
Pr 0.151 0.151 0.000
Pr 0.849 0.849 0.000
Nd 0.000 0.500 0.500
Zn 0.402 0.402 0.000
Zn 0.598 0.598 0.000
Cu 0.250 0.750 0.500
Cu 0.750 0.250 0.500
Si 0.302 0.302 0.000
Si 0.451 0.951 0.500
Si 0.549 0.049 0.500
Si 0.698 0.698 0.000

Values from the calculation:
As for the total energy: -4.79 eV/atom. Its total magnetization is 0.001 μB/cell. As for the crystal system: orthorhombic. Its space group is Immm (71). The mass density comes out at 6.28 g cm⁻³.

***

TbErGeBr2 after structural relaxation. Source: OQMD, functional PBE-GGA.

Lattice parameters (Å, degrees): 4.130 4.130 10.035 90.00 90.00 120.00
Sites, in units of the cell vectors:
Tb 0.000 0.000 0.000
Er 0.333 0.667 0.682
Ge 0.667 0.333 0.839
Br 0.000 0.000 0.509
Br 0.333 0.667 0.177

Values from the calculation:
As for the total energy: -4.87 eV/atom. Its total magnetization is 0.001 μB/cell. As for the crystal system: trigonal. Its space group is P3m1 (156). The mass density comes out at 6.26 g cm⁻³.

***

Ho3Zr3FeTe2 after structural relaxation. Source: OQMD, functional PBE-GGA.

Lattice parameters (Å, degrees): 8.080 8.080 3.683 90.00 90.00 120.00
Sites, in units of the cell vectors:
Ho 0.000 0.241 0.000
Ho 0.241 0.000 0.000
Ho 0.759 0.759 0.000
Zr 0.000 0.595 0.500
Zr 0.405 0.405 0.500
Zr 0.595 0.000 0.500
Fe 0.000 0.000 0.500
Te 0.333 0.667 0.000
Te 0.667 0.333 0.000

Values from the calculation:
As for the total energy: -6.42 eV/atom. Its total magnetization is 1.038 μB/cell. As for the crystal system: hexagonal. Its space group is P-62m (189). The mass density comes out at 8.61 g cm⁻³.

***

LaPmTe2 after structural relaxation. Source: OQMD, functional PBE-GGA.

Lattice parameters (Å, degrees): 4.526 4.526 6.400 90.00 90.00 90.00
Sites, in units of the cell vectors:
La 0.000 0.000 0.000
Pm 0.500 0.500 0.500
Te 0.000 0.000 0.500
Te 0.500 0.500 0.000

Values from the calculation:
As for the total energy: -5.49 eV/atom. Its total magnetization is 0.003 μB/cell. As for the crystal system: tetragonal. Its space group is P4/mmm (123). The mass density comes out at 6.83 g cm⁻³.

***

Ho3Fe after structural relaxation. Source: OQMD, functional PBE-GGA.

Lattice parameters (Å, degrees): 6.726 6.726 5.098 90.00 90.00 120.00
Sites, in units of the cell vectors:
Ho 0.175 0.350 0.250
Ho 0.175 0.825 0.250
Ho 0.350 0.175 0.750
Ho 0.650 0.825 0.250
Ho 0.825 0.175 0.750
Ho 0.825 0.650 0.750
Fe 0.333 0.667 0.750
Fe 0.667 0.333 0.250

Values from the calculation:
As for the total energy: -5.28 eV/atom. Its total magnetization is 3.856 μB/cell. As for the crystal system: hexagonal. The value obtained for the formation energy from the elements is 0.93 eV per formula unit. Its space group is P6_3/mmc (194). The mass density comes out at 9.16 g cm⁻³.

***

NaHfAgTe2S after structural relaxation. Source: OQMD, functional PBE-GGA.

Lattice parameters (Å, degrees): 8.090 8.090 10.042 90.00 90.00 150.42
Sites, in units of the cell vectors:
Na 0.227 0.773 0.750
Na 0.773 0.227 0.250
Hf 0.000 0.000 0.000
Hf 0.000 0.000 0.500
Ag 0.432 0.568 0.250
Ag 0.568 0.432 0.750
Te 0.364 0.636 0.000
Te 0.364 0.636 0.500
Te 0.636 0.364 0.000
Te 0.636 0.364 0.500
S 0.028 0.972 0.250
S 0.972 0.028 0.750

Values from the calculation:
As for the total energy: -4.85 eV/atom. Its total magnetization is 0.011 μB/cell. As for the crystal system: orthorhombic. Its space group is Cmcm (63). The mass density comes out at 6.11 g cm⁻³.

***

LiBeIrW after structural relaxation. Source: OQMD, functional PBE-GGA.

Lattice parameters (Å, degrees): 4.163 4.163 4.163 60.00 60.00 60.00
Sites, in units of the cell vectors:
Li 0.000 0.000 0.000
Be 0.750 0.750 0.750
Ir 0.500 0.500 0.500
W 0.250 0.250 0.250

Values from the calculation:
As for the total energy: -7.06 eV/atom. Its total magnetization is 0.000 μB/cell. As for the crystal system: cubic. Its space group is F-43m (216). The mass density comes out at 12.76 g cm⁻³.

***

NaFeCuTe2Se after structural relaxation. Source: OQMD, functional PBE-GGA.

Lattice parameters (Å, degrees): 7.177 7.177 10.064 90.00 90.00 149.29
Sites, in units of the cell vectors:
Na 0.249 0.751 0.750
Na 0.751 0.249 0.250
Fe 0.000 0.000 0.000
Fe 0.000 0.000 0.500
Cu 0.463 0.537 0.250
Cu 0.537 0.463 0.750
Te 0.369 0.631 0.033
Te 0.369 0.631 0.467
Te 0.631 0.369 0.533
Te 0.631 0.369 0.967
Se 0.067 0.933 0.250
Se 0.933 0.067 0.750

Values from the calculation:
As for the total energy: -4.08 eV/atom. Its total magnetization is 4.612 μB/cell. As for the crystal system: orthorhombic. Its space group is Cmcm (63). The mass density comes out at 5.98 g cm⁻³.

***

GdPSe2S2 after structural relaxation. Source: OQMD, functional PBE-GGA.

Lattice parameters (Å, degrees): 6.602 6.766 7.870 88.96 87.47 82.04
Sites, in units of the cell vectors:
Gd 0.208 0.204 0.055
Gd 0.792 0.796 0.945
P 0.304 0.761 0.811
P 0.696 0.239 0.189
Se 0.123 0.509 0.776
Se 0.424 0.258 0.358
Se 0.576 0.742 0.642
Se 0.877 0.491 0.224
S 0.086 0.006 0.767
S 0.382 0.779 0.063
S 0.618 0.221 0.937
S 0.914 0.994 0.233

Values from the calculation:
As for the total energy: -5.16 eV/atom. Its total magnetization is 0.002 μB/cell. As for the crystal system: triclinic. Its space group is P-1 (2). The mass density comes out at 3.92 g cm⁻³.

***

PrHoTl2 after structural relaxation. Source: OQMD, functional PBE-GGA.

Lattice parameters (Å, degrees): 3.840 3.840 7.690 90.00 90.00 90.00
Sites, in units of the cell vectors:
Pr 0.000 0.000 0.000
Ho 0.000 0.000 0.500
Tl 0.500 0.500 0.265
Tl 0.500 0.500 0.735

Values from the calculation:
As for the total energy: -3.89 eV/atom. Its total magnetization is 0.026 μB/cell. As for the crystal system: tetragonal. Its space group is P4/mmm (123). The mass density comes out at 10.46 g cm⁻³.

***

SrTeIr after structural relaxation. Source: OQMD, functional PBE-GGA.

Lattice parameters (Å, degrees): 5.032 5.032 5.032 60.00 60.00 60.00
Sites, in units of the cell vectors:
Sr 0.000 0.000 0.000
Te 0.250 0.250 0.250
Ir 0.750 0.750 0.750

Values from the calculation:
As for the total energy: -4.05 eV/atom. Its total magnetization is 0.091 μB/cell. As for the crystal system: cubic. Its space group is F-43m (216). The mass density comes out at 7.51 g cm⁻³.

***

Sr2LiOsS6 after structural relaxation. Source: OQMD, functional PBE-GGA.

Lattice parameters (Å, degrees): 6.658 6.658 6.658 120.02 120.02 89.97
Sites, in units of the cell vectors:
Sr 0.250 0.750 0.500
Sr 0.750 0.250 0.500
Li 0.000 0.000 0.000
Os 0.500 0.500 0.000
S 0.243 0.740 0.984
S 0.252 0.252 0.000
S 0.260 0.243 0.503
S 0.740 0.757 0.497
S 0.748 0.748 0.000
S 0.757 0.260 0.016

Values from the calculation:
As for the total energy: -4.94 eV/atom. Its total magnetization is 0.034 μB/cell. As for the crystal system: tetragonal. Its space group is I4/m (87). The mass density comes out at 4.50 g cm⁻³.

***

LiMgAg2 after structural relaxation. Source: OQMD, functional PBE-GGA.

Lattice parameters (Å, degrees): 3.278 3.278 6.396 90.00 90.00 90.00
Sites, in units of the cell vectors:
Li 0.000 0.000 0.000
Mg 0.000 0.000 0.500
Ag 0.500 0.500 0.235
Ag 0.500 0.500 0.765

Values from the calculation:
As for the total energy: -2.52 eV/atom. As for the crystal system: tetragonal. Its space group is P4/mmm (123). The mass density comes out at 5.97 g cm⁻³.

***

Dy3UN4 after structural relaxation. Source: OQMD, functional PBE-GGA.

Lattice parameters (Å, degrees): 5.953 5.953 3.446 90.00 90.00 109.01
Sites, in units of the cell vectors:
Dy 0.000 0.000 0.000
Dy 0.000 0.500 0.500
Dy 0.500 0.000 0.500
U 0.500 0.500 0.000
N 0.261 0.261 0.500
N 0.263 0.737 0.000
N 0.737 0.263 0.000
N 0.739 0.739 0.500

Values from the calculation:
As for the total energy: -8.92 eV/atom. Its total magnetization is 1.230 μB/cell. As for the crystal system: orthorhombic. Its space group is Cmmm (65). The mass density comes out at 11.24 g cm⁻³.